Record 1
A plane-wave DFT calculation with PBE was carried out for a relaxed structure of LaYCd4.

Results
**Size of the total moment**: 0.003 μB per atom
**Energy relative to the elements**: -0.354 eV per atom

Lattice parameters (Å, degrees): 3.413 5.013 8.697 90.00 90.02 90.00
Atoms (fractional coordinates):
Cd 0.497 0.500 0.173
Cd 0.504 0.000 0.339
Cd 0.496 0.000 0.661
Cd 0.503 0.500 0.827
La 0.000 0.000 0.000
Y 0.000 0.500 0.500

Record 2
A plane-wave DFT calculation with PBE was carried out for a relaxed structure of GdHoPt.

Results
**Size of the total moment**: 0.000 μB per atom
**Excess energy over the best structure of this formula in the dataset**: 18.4 meV/atom
**Energy relative to the elements**: -0.929 eV per atom

Lattice parameters (Å, degrees): 7.146 4.783 8.842 90.00 90.00 90.00
Atoms (fractional coordinates):
Gd 0.855 0.250 0.083
Gd 0.355 0.250 0.417
Gd 0.645 0.750 0.583
Gd 0.145 0.750 0.917
Ho 0.508 0.750 0.166
Ho 0.008 0.750 0.334
Ho 0.992 0.250 0.666
Ho 0.492 0.250 0.834
Pt 0.263 0.250 0.092
Pt 0.763 0.250 0.408
Pt 0.237 0.750 0.592
Pt 0.737 0.750 0.908

Record 3
A plane-wave DFT calculation with PBE was carried out for a relaxed structure of PmMoPb.

Results
**Size of the total moment**: 0.135 μB per atom
**Excess energy over the best structure of this formula in the dataset**: 0.0 meV/atom

Lattice parameters (Å, degrees): 4.890 4.890 4.890 60.00 60.00 60.00
Atoms (fractional coordinates):
Mo 0.250 0.250 0.250
Pb 0.000 0.000 0.000
Pm 0.750 0.750 0.750

Record 4
A plane-wave DFT calculation with PBE was carried out for a relaxed structure of NdCo2As2.

Results
**Size of the total moment**: 0.315 μB per atom
**Final energy**: -6.3838 eV per atom

Lattice parameters (Å, degrees): 4.042 4.042 5.834 110.27 110.27 90.00
Atoms (fractional coordinates):
As 0.634 0.634 0.269
As 0.366 0.366 0.731
Co 0.750 0.250 0.500
Co 0.250 0.750 0.500
Nd 0.000 0.000 0.000

Record 5
A plane-wave DFT calculation with PBE was carried out for a relaxed structure of Zr6Te2Pt.

Results
**Size of the total moment**: 0.000 μB per atom
**Final energy**: -7.7815 eV per atom

Lattice parameters (Å, degrees): 3.747 7.799 7.799 120.00 90.00 90.00
Atoms (fractional coordinates):
Pt 0.000 0.000 0.000
Te 0.500 0.667 0.333
Te 0.500 0.333 0.667
Zr 0.000 0.408 0.000
Zr 0.500 0.749 0.000
Zr 0.500 0.251 0.251
Zr 0.000 0.000 0.408
Zr 0.000 0.592 0.592
Zr 0.500 0.000 0.749

Record 6
A plane-wave DFT calculation with PBE was carried out for a relaxed structure of TbPrAl4Ni2.

Results
**Size of the total moment**: 0.000 μB per atom
**Final energy**: -5.0391 eV per atom

Lattice parameters (Å, degrees): 6.918 5.664 5.664 42.04 90.00 90.00
Atoms (fractional coordinates):
Al 0.308 0.165 0.165
Al 0.692 0.165 0.165
Al 0.197 0.836 0.836
Al 0.803 0.836 0.836
Ni 0.000 0.281 0.281
Ni 0.500 0.716 0.716
Pr 0.000 0.556 0.556
Tb 0.500 0.443 0.443

Record 7
A plane-wave DFT calculation with PBE was carried out for a relaxed structure of HgOsSeO.

Results
**Size of the total moment**: 0.003 μB per atom
**Excess energy over the best structure of this formula in the dataset**: 198.6 meV/atom

Lattice parameters (Å, degrees): 4.915 4.990 13.465 95.64 90.00 90.00
Atoms (fractional coordinates):
Hg 0.889 0.827 0.366
Hg 0.393 0.676 0.489
Hg 0.893 0.324 0.511
Hg 0.389 0.173 0.634
O 0.365 0.674 0.012
O 0.893 0.835 0.030
O 0.393 0.165 0.970
O 0.865 0.326 0.988
Os 0.549 0.394 0.095
Os 0.229 0.014 0.095
Os 0.729 0.986 0.905
Os 0.049 0.606 0.905
Se 0.895 0.262 0.205
Se 0.387 0.741 0.220
Se 0.887 0.259 0.780
Se 0.395 0.738 0.795

Record 8
A plane-wave DFT calculation with PBE was carried out for a relaxed structure of TbCuGeS3.

Results
**Size of the total moment**: 0.001 μB per atom
**Final energy**: -5.1392 eV per atom

Lattice parameters (Å, degrees): 6.472 6.472 10.310 90.00 90.00 145.92
Atoms (fractional coordinates):
Cu 0.528 0.472 0.250
Cu 0.472 0.528 0.750
Ge 0.234 0.766 0.250
Ge 0.766 0.234 0.750
S 0.646 0.354 0.078
S 0.911 0.089 0.250
S 0.646 0.354 0.422
S 0.354 0.646 0.578
S 0.089 0.911 0.750
S 0.354 0.646 0.922
Tb 0.000 0.000 0.000
Tb 0.000 0.000 0.500